(1)
Compound: Li2CeMg
Source: Alexandria
Functional: PBE
Structure: optimized geometry

Output
Energy, eV/atom: -2.644
Calculated formation energy, eV/atom: 0.1948
Energy above the lowest structure with this stoichiometry, eV/atom: 0.1195
Calculated volume, Å³/f.u.: 91.93
Space group: P4/mmm, No. 123

```
Li2CeMg
1.0
5.349 0.000 0.000
0.000 5.349 0.000
0.000 0.000 3.213
Li Ce Mg
2 1 1
Direct
0.000 0.500 0.000
0.500 0.000 0.000
0.000 0.000 0.500
0.500 0.500 0.500
```

***

(2)
Compound: LiCeMg4
Source: Alexandria
Functional: PBE
Structure: optimized geometry

Output
Energy, eV/atom: -2.282
Calculated formation energy, eV/atom: 0.0891
Energy above the lowest structure with this stoichiometry, eV/atom: 0.1021
Calculated volume, Å³/f.u.: 154.54
Space group: F-43m, No. 216

```
LiCeMg4
1.0
0.000 4.259 4.259
4.259 0.000 4.259
4.259 4.259 0.000
Li Ce Mg
1 1 4
Direct
0.000 0.000 0.000
0.750 0.750 0.750
0.375 0.375 0.375
0.375 0.375 0.874
0.375 0.874 0.375
0.874 0.375 0.375
```

***

(3)
Compound: LiCeNdMg
Source: Alexandria
Functional: PBE
Structure: optimized geometry

Output
Energy, eV/atom: -3.425
Calculated formation energy, eV/atom: 0.1278
Calculated volume, Å³/f.u.: 113.42
Space group: F-43m, No. 216

```
LiCeNdMg
1.0
0.000 3.842 3.842
3.842 0.000 3.842
3.842 3.842 0.000
Li Ce Nd Mg
1 1 1 1
Direct
0.000 0.000 0.000
0.750 0.750 0.750
0.250 0.250 0.250
0.500 0.500 0.500
```

***

(4)
Compound: LiCeMgNi
Source: Alexandria
Functional: PBE
Structure: optimized geometry

Output
Energy, eV/atom: -3.868
Calculated formation energy, eV/atom: -0.0621
Calculated volume, Å³/f.u.: 75.38
Space group: F-43m, No. 216

```
LiCeMgNi
1.0
0.000 3.353 3.353
3.353 0.000 3.353
3.353 3.353 0.000
Li Ce Mg Ni
1 1 1 1
Direct
0.000 0.000 0.000
0.750 0.750 0.750
0.250 0.250 0.250
0.500 0.500 0.500
```

***

(5)
Compound: LiCeMgOs
Source: Alexandria
Functional: PBE
Structure: optimized geometry

Output
Energy, eV/atom: -5.165
Calculated formation energy, eV/atom: 0.0033
Calculated volume, Å³/f.u.: 75.66
Space group: F-43m, No. 216

```
LiCeMgOs
1.0
0.000 3.357 3.357
3.357 0.000 3.357
3.357 3.357 0.000
Li Ce Mg Os
1 1 1 1
Direct
0.000 0.000 0.000
0.750 0.750 0.750
0.250 0.250 0.250
0.500 0.500 0.500
```

***

(6)
Compound: Li2Ce3Mg2Pb4
Source: Alexandria
Functional: PBE
Structure: optimized geometry

Output
Energy, eV/atom: -3.874
Calculated formation energy, eV/atom: -0.2698
Calculated volume, Å³/f.u.: 309.26
Space group: P-3m1, No. 164

```
Li2Ce3Mg2Pb4
1.0
4.987 0.000 0.000
-2.493 4.319 0.000
0.000 0.000 14.361
Li Ce Mg Pb
2 3 2 4
Direct
0.333 0.667 0.070
0.667 0.333 0.930
0.000 0.000 0.223
0.000 0.000 0.500
0.000 0.000 0.777
0.333 0.667 0.650
0.667 0.333 0.350
0.333 0.667 0.381
0.333 0.667 0.868
0.667 0.333 0.132
0.667 0.333 0.619
```